# TbDy3Ho4 GGA-PBE relaxed
data_TbDy3Ho4
_chemical_formula_sum 'Tb2 Dy6 Ho8'
_symmetry_space_group_name_H-M 'P m n 21'
_symmetry_Int_Tables_number 31
_cell_length_a 11.176
_cell_length_b 7.227
_cell_length_c 6.249
_cell_angle_alpha 90.00
_cell_angle_beta 90.00
_cell_angle_gamma 90.00
loop_
_symmetry_equiv_pos_as_xyz
'x,y,z'
'-x+1/2,-y,z+1/2'
'-x,y,z'
'x+1/2,-y,z+1/2'
loop_
_atom_site_label
_atom_site_type_symbol
_atom_site_fract_x
_atom_site_fract_y
_atom_site_fract_z
Tb1 Tb 0.000 0.126 0.000
Dy1 Dy 0.000 0.875 0.499
Dy2 Dy 0.250 0.126 0.333
Ho1 Ho 0.000 0.375 0.500
Ho2 Ho 0.000 0.624 0.999
Ho3 Ho 0.250 0.376 0.833
# Spin magnetization = 0.0 μB per formula unit
# Theoretical density = 8.60 g/cm3
# ΔE_f = 5 meV per atom
# Relative energy among the computed polymorphs = 0.000 eV per atom

# Tl2NiRu GGA-PBE relaxed
data_Tl2NiRu
_chemical_formula_sum 'Tl4 Ni2 Ru2'
_symmetry_space_group_name_H-M 'C 1 m 1'
_symmetry_Int_Tables_number 8
_cell_length_a 10.571
_cell_length_b 3.125
_cell_length_c 4.686
_cell_angle_alpha 90.00
_cell_angle_beta 108.86
_cell_angle_gamma 90.00
loop_
_symmetry_equiv_pos_as_xyz
'x,y,z'
'x,-y,z'
'x+1/2,y+1/2,z'
'x+1/2,-y+1/2,z'
loop_
_atom_site_label
_atom_site_type_symbol
_atom_site_fract_x
_atom_site_fract_y
_atom_site_fract_z
Tl1 Tl 0.000 0.000 0.000
Tl2 Tl 0.219 0.000 0.626
Ni1 Ni 0.454 0.000 0.472
Ru1 Ru 0.256 0.500 0.147
# Spin magnetization = 0.9 μB per formula unit
# Theoretical density = 12.89 g/cm3
# ΔE_f = 495 meV per atom
# Relative energy among the computed polymorphs = 0.068 eV per atom

# Cs2RbCl2 GGA-PBE relaxed
data_Cs2RbCl2
_chemical_formula_sum 'Cs8 Rb4 Cl8'
_symmetry_space_group_name_H-M 'I b a m'
_symmetry_Int_Tables_number 72
_symmetry_space_group_name_Hall '-I 2 2c'
_cell_length_a 8.776
_cell_length_b 12.887
_cell_length_c 10.126
_cell_angle_alpha 90.00
_cell_angle_beta 90.00
_cell_angle_gamma 90.00
loop_
_atom_site_label
_atom_site_type_symbol
_atom_site_fract_x
_atom_site_fract_y
_atom_site_fract_z
Cs1 Cs 0.094 0.171 0.000
Rb1 Rb 0.000 0.500 0.250
Cl1 Cl 0.228 0.429 0.000
# Spin magnetization = 0.0 μB per formula unit
# Uncorrected formation energy = -139.3 kJ per mole of atoms
# Theoretical density = 2.45 g/cm3
# Relative energy among the computed polymorphs = 0.000 eV per atom

# PmGa2Pt8 GGA-PBE relaxed
data_PmGa2Pt8
_chemical_formula_sum 'Pm1 Ga2 Pt8'
_symmetry_space_group_name_H-M 'P 4/m m m'
_symmetry_Int_Tables_number 123
_symmetry_space_group_name_Hall '-P 4 2'
_cell_length_a 5.358
_cell_length_b 5.358
_cell_length_c 8.127
_cell_angle_alpha 90.00
_cell_angle_beta 90.00
_cell_angle_gamma 90.00
loop_
_atom_site_label
_atom_site_type_symbol
_atom_site_fract_x
_atom_site_fract_y
_atom_site_fract_z
Pm1 Pm 0.000 0.000 0.000
Ga1 Ga 0.000 0.500 0.500
Pt1 Pt 0.253 0.253 0.281
# Spin magnetization = 0.0 μB per formula unit
# Theoretical density = 13.13 g/cm3
# ΔE_f = -264 meV per atom

# ScZnCd3 GGA-PBE relaxed
data_ScZnCd3
_chemical_formula_sum 'Sc4 Zn4 Cd12'
_symmetry_space_group_name_H-M 'P n m a'
_symmetry_Int_Tables_number 62
_cell_length_a 9.849
_cell_length_b 4.342
_cell_length_c 9.976
_cell_angle_alpha 90.00
_cell_angle_beta 90.00
_cell_angle_gamma 90.00
loop_
_symmetry_equiv_pos_as_xyz
'x,y,z'
'-x,-y,-z'
'-x+1/2,-y,z+1/2'
'x+1/2,y,-z+1/2'
'x+1/2,-y+1/2,-z+1/2'
'-x+1/2,y+1/2,z+1/2'
'-x,y+1/2,-z'
'x,-y+1/2,z'
loop_
_atom_site_label
_atom_site_type_symbol
_atom_site_fract_x
_atom_site_fract_y
_atom_site_fract_z
Sc1 Sc 0.088 0.250 0.123
Zn1 Zn 0.108 0.750 0.325
Cd1 Cd 0.074 0.750 0.605
Cd2 Cd 0.128 0.250 0.803
Cd3 Cd 0.248 0.750 0.968
# Spin magnetization = 0.0 μB per formula unit
# Theoretical density = 6.97 g/cm3
# ΔE_f = -88 meV per atom
# Relative energy among the computed polymorphs = 0.000 eV per atom

# TlI GGA-PBE relaxed
data_TlI
_chemical_formula_sum 'Tl2 I2'
_symmetry_space_group_name_H-M 'P 63/m m c'
_symmetry_Int_Tables_number 194
_symmetry_space_group_name_Hall '-P 6c 2c'
_cell_length_a 6.0055
_cell_length_b 6.0055
_cell_length_c 7.0680
_cell_angle_alpha 90.00
_cell_angle_beta 90.00
_cell_angle_gamma 120.00
loop_
_atom_site_label
_atom_site_type_symbol
_atom_site_fract_x
_atom_site_fract_y
_atom_site_fract_z
Tl1 Tl 0.3333 0.6667 0.2500
I1 I 0.3333 0.6667 0.7500
# Spin magnetization = 0.0 μB per formula unit
# Uncorrected formation energy = -60.7 kJ per mole of atoms
# Theoretical density = 4.98 g/cm3
# Relative energy among the computed polymorphs = 0.037 eV per atom

# LaDy2Tl3S6 GGA-PBE relaxed
data_LaDy2Tl3S6
_chemical_formula_sum 'La2 Dy4 Tl6 S12'
_symmetry_space_group_name_H-M 'C 1 2/m 1'
_symmetry_Int_Tables_number 12
_cell_length_a 7.132
_cell_length_b 12.344
_cell_length_c 7.860
_cell_angle_alpha 90.00
_cell_angle_beta 107.58
_cell_angle_gamma 90.00
loop_
_symmetry_equiv_pos_as_xyz
'x,y,z'
'-x,-y,-z'
'-x,y,-z'
'x,-y,z'
'x+1/2,y+1/2,z'
'-x+1/2,-y+1/2,-z'
'-x+1/2,y+1/2,-z'
'x+1/2,-y+1/2,z'
loop_
_atom_site_label
_atom_site_type_symbol
_atom_site_fract_x
_atom_site_fract_y
_atom_site_fract_z
La1 La 0.000 0.000 0.000
Dy1 Dy 0.000 0.333 0.000
Tl1 Tl 0.000 0.166 0.500
Tl2 Tl 0.000 0.500 0.500
S1 S 0.220 0.500 0.198
S2 S 0.240 0.173 0.201
# Spin magnetization = 0.0 μB per formula unit
# Uncorrected formation energy = -144.6 kJ per mole of atoms
# Theoretical density = 6.39 g/cm3

# TiSe2S GGA-PBE relaxed
data_TiSe2S
_chemical_formula_sum 'Ti4 Se8 S4'
_symmetry_space_group_name_H-M 'I -4 2 d'
_symmetry_Int_Tables_number 122
_symmetry_space_group_name_Hall 'I -4 2bw'
_cell_length_a 6.187
_cell_length_b 6.187
_cell_length_c 11.086
_cell_angle_alpha 90.00
_cell_angle_beta 90.00
_cell_angle_gamma 90.00
loop_
_atom_site_label
_atom_site_type_symbol
_atom_site_fract_x
_atom_site_fract_y
_atom_site_fract_z
Ti1 Ti 0.000 0.000 0.000
Se1 Se 0.207 0.250 0.125
S1 S 0.000 0.000 0.500
# Spin magnetization = 0.0 μB per formula unit
# Uncorrected formation energy = -4.0 kJ per mole of atoms
# Theoretical density = 3.72 g/cm3